--- A ---
The following is a DFT calculation (PBE) of a relaxed structure of LaTaCoAu.

Cell lengths 6.618, 6.618, 6.618 Å; angles 90.00, 90.00, 90.00 degrees
Space group F-43m (No. 216)
Asymmetric unit:
La: 0.000 0.000 0.000 (multiplicity 4)
Ta: 0.250 0.250 0.250 (multiplicity 4)
Co: 0.250 0.250 0.750 (multiplicity 4)
Au: 0.000 0.000 0.500 (multiplicity 4)

Calculated values
Total magnetic moment = 0.012 μB/cell



--- B ---
The following is a DFT calculation (PBE) of a relaxed structure of LaTaCoAu.

Cell lengths 6.853, 6.853, 6.853 Å; angles 90.00, 90.00, 90.00 degrees
Space group F-43m (No. 216)
Asymmetric unit:
La: 0.000 0.000 0.000 (multiplicity 4)
Ta: 0.000 0.000 0.500 (multiplicity 4)
Co: 0.250 0.250 0.250 (multiplicity 4)
Au: 0.250 0.250 0.750 (multiplicity 4)

Calculated values
Total magnetic moment = 1.752 μB/cell



Which of them is most stable, and which least? Most stable: B; least stable: A.



--- A ---
The following is a DFT calculation (PBE) of a relaxed structure of LuCoPbAu.

Cell lengths 6.801, 6.801, 6.801 Å; angles 90.00, 90.00, 90.00 degrees
Space group F-43m (No. 216)
Asymmetric unit:
Lu: 0.000 0.000 0.000 (multiplicity 4)
Co: 0.250 0.250 0.750 (multiplicity 4)
Pb: 0.000 0.000 0.500 (multiplicity 4)
Au: 0.250 0.250 0.250 (multiplicity 4)

Calculated values
Total magnetic moment = 4.744 μB/cell



--- B ---
The following is a DFT calculation (PBE) of a relaxed structure of LuCoPbAu.

Cell lengths 6.781, 6.781, 6.781 Å; angles 90.00, 90.00, 90.00 degrees
Space group F-43m (No. 216)
Asymmetric unit:
Lu: 0.000 0.000 0.000 (multiplicity 4)
Co: 0.000 0.000 0.500 (multiplicity 4)
Pb: 0.250 0.250 0.250 (multiplicity 4)
Au: 0.250 0.250 0.750 (multiplicity 4)

Calculated values
Total magnetic moment = 4.527 μB/cell



Which of them is most stable, and which least? Most stable: A; least stable: B.



--- A ---
The following is a DFT calculation (PBE) of a relaxed structure of LuCoSbAu.

Cell lengths 6.772, 6.772, 6.772 Å; angles 90.00, 90.00, 90.00 degrees
Space group F-43m (No. 216)
Asymmetric unit:
Lu: 0.000 0.000 0.000 (multiplicity 4)
Co: 0.250 0.250 0.750 (multiplicity 4)
Sb: 0.250 0.250 0.250 (multiplicity 4)
Au: 0.000 0.000 0.500 (multiplicity 4)

Calculated values
Total magnetic moment = 4.401 μB/cell



--- B ---
The following is a DFT calculation (PBE) of a relaxed structure of LuCoSbAu.

Cell lengths 6.717, 6.717, 6.717 Å; angles 90.00, 90.00, 90.00 degrees
Space group F-43m (No. 216)
Asymmetric unit:
Lu: 0.000 0.000 0.000 (multiplicity 4)
Co: 0.250 0.250 0.750 (multiplicity 4)
Sb: 0.000 0.000 0.500 (multiplicity 4)
Au: 0.250 0.250 0.250 (multiplicity 4)

Calculated values
Total magnetic moment = 2.536 μB/cell



Which of them is most stable, and which least? Most stable: B; least stable: A.